(1)
Here is crystalline SiTcBi2B at its relaxed geometry from the Alexandria database. Energies are from GGA-PBE.

abc: 5.4126 5.4126 4.5230
angles: 90.00 90.00 90.00
Closest atoms and distances in Å follow each position.
Positions (direct):
Si (0.0000, 0.0000, 0.0000)  2 Tc 2.26
Tc (0.0000, 0.0000, 0.5000)  2 Si 2.26
Bi (0.0000, 0.5000, 0.0000)  2 Si 2.71
Bi (0.5000, 0.0000, 0.0000)  2 Si 2.71
B (0.5000, 0.5000, 0.5000)  8 Bi 3.53, 4 Tc 3.83

symmetry	P4/mmm, No. 123
E_form (uncorrected)	39.17	kcal/mol of atoms
raw total energy	-21.74	eV for the cell shown
ρ	7.0	g/cm³
calculated volume	26.5	A^3/atom

---

(2)
Here is crystalline FeB2 at its relaxed geometry from the Alexandria database. Energies are from GGA-PBE.

abc: 3.6970 3.6970 3.6970
angles: 139.55 139.55 58.54
Closest atoms and distances in Å follow each position.
Positions (direct):
Fe (0.0000, 0.0000, 0.0000)  10 B 2.09-2.13
B (0.3244, 0.3244, 0.0000)  5 B 2.05-2.27, 5 Fe 2.09-2.13
B (0.6756, 0.6756, 0.0000)  5 B 2.05-2.27, 5 Fe 2.09-2.13

symmetry	I4/mmm, No. 139
raw total energy	-21.83	eV for the cell shown
calculated formation energy	-0.01	eV per formula unit
ρ	6.1	g/cm³
calculated volume	7.0	A^3/atom

---

(3)
Here is crystalline Cs5Rb2Ag2 at its relaxed geometry from the Alexandria database. Energies are from GGA-PBE.

abc: 11.7524 7.5741 7.5741
angles: 90.28 90.00 90.00
Closest atoms and distances in Å follow each position.
Positions (direct):
Cs (0.0000, 0.0000, 0.0000)  2 Ag 4.45
Cs (0.2868, 0.9999, 0.4996)  2 Ag 3.93-3.94
Cs (0.2868, 0.4996, 0.9999)  2 Ag 3.93-3.94
Cs (0.7132, 0.9999, 0.4996)  2 Ag 3.93-3.94
Cs (0.7132, 0.4996, 0.9999)  2 Ag 3.93-3.94
Rb (0.0000, 0.4999, 0.4999)  12 Cs 5.07-5.37
Rb (0.5000, 0.5002, 0.5002)  8 Cs 4.54
Ag (0.3790, 0.9989, 0.9989)  1 Ag 2.84
Ag (0.6210, 0.9989, 0.9989)  1 Ag 2.84

symmetry	Amm2, No. 38
raw total energy	-11.15	eV for the cell shown
calculated formation energy	0.75	eV per formula unit
ρ	2.6	g/cm³
calculated volume	74.9	A^3/atom

---

(4)
Here is crystalline Tb3Pm2ErAs6 at its relaxed geometry from the Alexandria database. Energies are from GGA-PBE.

abc: 9.3080 9.3080 8.3244
angles: 102.92 102.92 25.86
Closest atoms and distances in Å follow each position.
Positions (direct):
Tb (0.0000, 0.0000, 0.0000)  6 As 2.92-2.96
Tb (0.3329, 0.3329, 0.6661)  6 As 2.92-2.96
Tb (0.6671, 0.6671, 0.3339)  6 As 2.92-2.96
Pm (0.3342, 0.3342, 0.1679)  6 As 2.96-2.98
Pm (0.6658, 0.6658, 0.8321)  6 As 2.96-2.98
Er (0.0000, 0.0000, 0.5000)  6 As 2.92-2.93
As (0.1654, 0.1654, 0.0867)  3 Tb 2.92, 3 Pm 2.97-2.98
As (0.1654, 0.1654, 0.5783)  3 Tb 2.92-2.96, 1 Er 2.92, 2 Pm 2.97
As (0.4982, 0.4982, 0.7464)  3 Tb 2.92-2.96, 2 Er 2.93, 1 Pm 2.96
As (0.5018, 0.5018, 0.2536)  3 Tb 2.92-2.96, 2 Er 2.93, 1 Pm 2.96
As (0.8346, 0.8346, 0.4217)  3 Tb 2.92-2.96, 1 Er 2.92, 2 Pm 2.97
As (0.8346, 0.8346, 0.9133)  3 Tb 2.92, 3 Pm 2.97-2.98

symmetry	C2/m, No. 12
raw total energy	-74.18	eV for the cell shown
calculated formation energy	-18.33	eV per formula unit
ρ	7.5	g/cm³
calculated volume	25.5	A^3/atom